a.
Below is a geometry-optimized LiEr2S structure, with properties calculated at the PBE level.

POSCAR file:
```
LiEr2S
1.0
1.839 1.062 8.622
-1.839 1.062 8.622
0.000 -2.124 8.622
Li Er S
1 2 1
direct
0.000 0.000 0.000
0.563 0.563 0.563
0.771 0.771 0.771
0.167 0.167 0.167
```

Calculated values
The density of states at the Fermi level is 3.4 states/eV/f.u. The calculation puts the total magnetization at 0.10 μB/f.u. Its crystal system is trigonal.

=====

b.
Below is a geometry-optimized LiEr2S structure, with properties calculated at the PBE level.

POSCAR file:
```
LiEr2S
1.0
1.809 1.045 9.702
-1.809 1.045 9.702
0.000 -2.089 9.702
Li Er S
1 2 1
direct
0.000 0.000 0.000
0.110 0.110 0.110
0.890 0.890 0.890
0.500 0.500 0.500
```

Calculated values
The density of states at the Fermi level is 3.1 states/eV/f.u. The calculation puts the total magnetization at 0.00 μB/f.u. Its crystal system is trigonal.

=====

Which structure is the least stable? The one labeled b.

=====

a.
Below is a geometry-optimized LiErSb structure, with properties calculated at the PBE level.

POSCAR file:
```
LiErSb
1.0
7.336 0.000 0.000
0.000 4.368 0.000
-0.119 0.000 12.816
Li Er Sb
6 6 6
direct
0.005 0.250 0.094
0.161 0.250 0.452
0.356 0.750 0.804
0.644 0.250 0.196
0.839 0.750 0.548
0.995 0.750 0.906
0.021 0.250 0.698
0.346 0.750 0.076
0.482 0.750 0.377
0.518 0.250 0.623
0.654 0.250 0.924
0.979 0.750 0.302
0.227 0.250 0.911
0.230 0.750 0.573
0.272 0.250 0.246
0.728 0.750 0.754
0.770 0.250 0.427
0.773 0.750 0.089
```

Calculated values
The density of states at the Fermi level is 2.5 states/eV/f.u. The calculation puts the total magnetization at 0.00 μB/f.u. Its crystal system is monoclinic.

=====

b.
Below is a geometry-optimized LiErSb structure, with properties calculated at the PBE level.

POSCAR file:
```
LiErSb
1.0
4.479 0.000 0.000
-2.240 3.879 0.000
0.000 0.000 8.366
Li Er Sb
2 2 2
direct
0.000 0.000 0.000
0.333 0.667 0.922
0.000 0.000 0.621
0.667 0.333 0.238
0.333 0.667 0.424
0.667 0.333 0.853
```

Calculated values
The density of states at the Fermi level is 1.3 states/eV/f.u. The calculation puts the total magnetization at 0.34 μB/f.u. Its crystal system is trigonal.

=====

Which structure is the least stable? The one labeled b.

=====

a.
Below is a geometry-optimized LiErSb structure, with properties calculated at the PBE level.

POSCAR file:
```
LiErSb
1.0
-2.046 2.046 4.367
2.046 -2.046 4.367
2.046 2.046 -4.367
Li Er Sb
1 1 1
direct
0.000 0.000 0.000
0.338 0.338 0.000
0.689 0.689 0.000
```

Calculated values
The density of states at the Fermi level is 2.3 states/eV/f.u. The calculation puts the total magnetization at 0.00 μB/f.u. Its crystal system is tetragonal.

=====

b.
Below is a geometry-optimized LiErSb structure, with properties calculated at the PBE level.

POSCAR file:
```
LiErSb
1.0
4.399 0.000 0.000
-2.200 3.810 0.000
0.000 0.000 4.062
Li Er Sb
1 1 1
direct
0.000 0.000 0.000
0.667 0.333 0.500
0.333 0.667 0.000
```

Calculated values
The density of states at the Fermi level is 2.0 states/eV/f.u. The calculation puts the total magnetization at 0.00 μB/f.u. Its crystal system is hexagonal.

=====

Which structure is the least stable? The one labeled a.

=====

a.
Below is a geometry-optimized LiEr2Sb structure, with properties calculated at the PBE level.

POSCAR file:
```
LiEr2Sb
1.0
4.826 0.000 0.000
0.000 4.826 0.000
0.000 0.000 4.224
Li Er Sb
1 2 1
direct
0.000 0.000 0.000
0.000 0.500 0.500
0.500 0.000 0.500
0.500 0.500 0.000
```

Calculated values
The density of states at the Fermi level is 2.8 states/eV/f.u. The calculation puts the total magnetization at 0.00 μB/f.u. Its crystal system is tetragonal.

=====

b.
Below is a geometry-optimized LiEr2Sb structure, with properties calculated at the PBE level.

POSCAR file:
```
LiEr2Sb
1.0
2.138 1.234 6.711
-2.138 1.234 6.711
0.000 -2.469 6.711
Li Er Sb
1 2 1
direct
0.000 0.000 0.000
0.219 0.219 0.219
0.423 0.423 0.423
0.650 0.650 0.650
```

Calculated values
The density of states at the Fermi level is 4.8 states/eV/f.u. The calculation puts the total magnetization at 0.16 μB/f.u. Its crystal system is trigonal.

=====

Which structure is the least stable? The one labeled b.

=====

a.
Below is a geometry-optimized LiEr2Sc structure, with properties calculated at the PBE level.

POSCAR file:
```
LiEr2Sc
1.0
1.675 0.967 11.736
-1.675 0.967 11.736
0.000 -1.934 11.736
Li Er Sc
1 2 1
direct
0.000 0.000 0.000
0.091 0.091 0.091
0.909 0.909 0.909
0.500 0.500 0.500
```

Calculated values
The density of states at the Fermi level is 5.1 states/eV/f.u. The calculation puts the total magnetization at 0.00 μB/f.u. Its crystal system is trigonal.

=====

b.
Below is a geometry-optimized LiEr2Sc structure, with properties calculated at the PBE level.

POSCAR file:
```
LiEr2Sc
1.0
5.350 0.000 0.000
0.000 5.350 0.000
0.000 0.000 3.660
Li Er Sc
1 2 1
direct
0.000 0.000 0.000
0.000 0.500 0.500
0.500 0.000 0.500
0.500 0.500 0.000
```

Calculated values
The density of states at the Fermi level is 4.8 states/eV/f.u. The calculation puts the total magnetization at 0.00 μB/f.u. Its crystal system is tetragonal.

=====

Which structure is the least stable? The one labeled a.

=====

a.
Below is a geometry-optimized LiErSc structure, with properties calculated at the PBE level.

POSCAR file:
```
LiErSc
1.0
3.330 0.000 0.000
-1.665 2.884 0.000
0.000 0.000 8.025
Li Er Sc
1 1 1
direct
0.000 0.000 0.000
0.667 0.333 0.345
0.333 0.667 0.677
```

Calculated values
The density of states at the Fermi level is 4.1 states/eV/f.u. The calculation puts the total magnetization at 0.01 μB/f.u. Its crystal system is trigonal.

=====

b.
Below is a geometry-optimized LiErSc structure, with properties calculated at the PBE level.

POSCAR file:
```
LiErSc
1.0
3.726 0.000 0.000
0.000 3.726 0.000
0.000 0.000 10.927
Li Er Sc
2 2 2
direct
0.250 0.250 0.064
0.750 0.750 0.936
0.250 0.250 0.753
0.750 0.750 0.247
0.250 0.250 0.427
0.750 0.750 0.573
```

Calculated values
The density of states at the Fermi level is 3.9 states/eV/f.u. The calculation puts the total magnetization at 0.00 μB/f.u. Its crystal system is tetragonal.

=====

Which structure is the least stable? The one labeled a.